VTcOs3 | PBE | optimized geometry

The structure in POSCAR format:
```
VTcOs3
1.0
-2.866 2.014 -3.040
-3.576 -0.790 2.847
0.719 4.103 2.041
Os Tc V
3 1 1
direct
0.000 0.000 0.500
0.000 0.500 0.000
0.500 0.000 0.000
0.000 0.000 0.000
0.500 0.500 0.500
```

Values from the calculation:
VASP energy in eV per cell: -42.4
Excess energy over the best structure of this formula in the dataset in kJ/mol of atoms: 204.13
ΔH_f (0 K) in meV per atom: 2148.0
Space-group type: Pm-3m (221)